[1]
Density functional theory data (PBE) for a relaxed Sc2UIn3Se6 crystal.

Cell: 6.933 6.933 8.104 Å, 98.21 98.21 119.95°
Positions (direct):
1 Sc 0.167 0.833 0.000
2 Sc 0.833 0.167 0.000
3 U 0.500 0.500 0.000
4 In 0.000 0.000 0.500
5 In 0.337 0.663 0.500
6 In 0.663 0.337 0.500
7 Se 0.087 0.432 0.797
8 Se 0.221 0.221 0.200
9 Se 0.432 0.087 0.797
10 Se 0.568 0.913 0.203
11 Se 0.779 0.779 0.800
12 Se 0.913 0.568 0.203

Properties
Uncorrected formation energy, kcal/mol of atoms: -23.92
Density of states at the Fermi level, states/eV per atom: 0.88
Space group: C2/m
Energy, eV/atom: -5.460


[2]
Density functional theory data (PBE) for a relaxed BaPr2Pt crystal.

Cell: 11.403 11.403 11.403 Å, 21.42 21.42 21.42°
Positions (direct):
1 Ba 0.000 0.000 0.000
2 Pr 0.120 0.120 0.120
3 Pr 0.880 0.880 0.880
4 Pt 0.500 0.500 0.500

Properties
Density of states at the Fermi level, states/eV per atom: 1.30
Space group: R-3m
Formation enthalpy at 0 K, eV/f.u.: -1.52
Energy, eV/atom: -4.762


[3]
Density functional theory data (PBE) for a relaxed PrNdTmPb crystal.

Cell: 5.603 5.603 5.603 Å, 60.00 60.00 60.00°
Positions (direct):
1 Pr 0.000 0.000 0.000
2 Nd 0.500 0.500 0.500
3 Tm 0.750 0.750 0.750
4 Pb 0.250 0.250 0.250

Properties
Density of states at the Fermi level, states/eV per atom: 1.85
Space group: F-43m
Formation enthalpy at 0 K, eV/f.u.: -0.61
Energy, eV/atom: -4.583


[4]
Density functional theory data (PBE) for a relaxed Ta3Nb2Ga4 crystal.

Cell: 7.855 7.855 5.192 Å, 92.50 92.50 74.53°
Positions (direct):
1 Ta 0.072 0.928 0.750
2 Ta 0.305 0.479 0.604
3 Ta 0.479 0.305 0.104
4 Ta 0.521 0.695 0.896
5 Ta 0.695 0.521 0.396
6 Ta 0.928 0.072 0.250
7 Nb 0.112 0.335 0.117
8 Nb 0.335 0.112 0.617
9 Nb 0.665 0.888 0.383
10 Nb 0.888 0.665 0.883
11 Ga 0.012 0.326 0.605
12 Ga 0.225 0.630 0.067
13 Ga 0.326 0.012 0.105
14 Ga 0.370 0.775 0.433
15 Ga 0.630 0.225 0.567
16 Ga 0.674 0.988 0.895
17 Ga 0.775 0.370 0.933
18 Ga 0.988 0.674 0.395

Properties
Density of states at the Fermi level, states/eV per atom: 0.50
Space group: C2/c
Formation enthalpy at 0 K, eV/f.u.: -1.55
Energy, eV/atom: -7.706


[5]
Density functional theory data (PBE) for a relaxed La2TbTm7 crystal.

Cell: 14.740 14.740 3.505 Å, 90.00 90.00 154.62°
Positions (direct):
1 La 0.208 0.792 0.000
2 La 0.792 0.208 0.000
3 Tb 0.500 0.500 0.500
4 Tm 0.000 0.000 0.000
5 Tm 0.158 0.352 0.000
6 Tm 0.317 0.683 0.500
7 Tm 0.352 0.158 0.000
8 Tm 0.648 0.842 0.000
9 Tm 0.683 0.317 0.500
10 Tm 0.842 0.648 0.000

Properties
Density of states at the Fermi level, states/eV per atom: 1.66
Space group: Cmmm
Formation enthalpy at 0 K, eV/f.u.: 1.63
Energy, eV/atom: -4.415


[6]
Density functional theory data (PBE) for a relaxed ErPaC2 crystal.

Cell: 6.152 6.152 6.152 Å, 34.21 34.21 34.21°
Positions (direct):
1 Er 0.000 0.000 0.000
2 Pa 0.500 0.500 0.500
3 C 0.243 0.243 0.243
4 C 0.757 0.757 0.757

Properties
Density of states at the Fermi level, states/eV per atom: 0.38
Space group: R-3m
Formation enthalpy at 0 K, eV/f.u.: -1.71
Energy, eV/atom: -8.555


[7]
Density functional theory data (PBE) for a relaxed LiAu2Cl crystal.

Cell: 3.174 3.174 8.413 Å, 90.03 90.03 59.98°
Positions (direct):
1 Li 0.000 0.000 0.000
2 Au 0.331 0.331 0.275
3 Au 0.665 0.665 0.539
4 Cl 0.667 0.667 0.846

Properties
Uncorrected formation energy, kcal/mol of atoms: -10.52
Density of states at the Fermi level, states/eV per atom: 0.19
Space group: Cm
Energy, eV/atom: -3.035


[8]
Density functional theory data (PBE) for a relaxed PaV2Tc crystal.

Cell: 3.196 3.196 6.383 Å, 90.00 90.00 90.00°
Positions (direct):
1 Pa 0.000 0.000 0.000
2 V 0.500 0.500 0.267
3 V 0.500 0.500 0.733
4 Tc 0.000 0.000 0.500

Properties
Density of states at the Fermi level, states/eV per atom: 1.40
Space group: P4/mmm
Formation enthalpy at 0 K, eV/f.u.: 0.39
Energy, eV/atom: -9.428


[9]
Density functional theory data (PBE) for a relaxed AcLa15Pr4 crystal.

Cell: 5.277 5.277 26.516 Å, 90.00 90.00 90.00°
Positions (direct):
1 Ac 0.000 0.000 0.000
2 La 0.000 0.500 0.103
3 La 0.000 0.500 0.301
4 La 0.000 0.500 0.500
5 La 0.000 0.500 0.699
6 La 0.000 0.500 0.897
7 La 0.500 0.000 0.103
8 La 0.500 0.000 0.301
9 La 0.500 0.000 0.500
10 La 0.500 0.000 0.699
11 La 0.500 0.000 0.897
12 La 0.500 0.500 0.000
13 La 0.500 0.500 0.203
14 La 0.500 0.500 0.401
15 La 0.500 0.500 0.599
16 La 0.500 0.500 0.797
17 Pr 0.000 0.000 0.202
18 Pr 0.000 0.000 0.401
19 Pr 0.000 0.000 0.599
20 Pr 0.000 0.000 0.798

Properties
Density of states at the Fermi level, states/eV per atom: 1.92
Space group: P4/mmm
Formation enthalpy at 0 K, eV/f.u.: 0.22
Energy, eV/atom: -4.846


[10]
Density functional theory data (PBE) for a relaxed MnRePdSe crystal.

Cell: 3.332 4.360 4.742 Å, 93.26 95.18 111.91°
Positions (direct):
1 Mn 0.000 0.000 0.000
2 Re 0.305 0.627 0.845
3 Pd 0.788 0.462 0.273
4 Se 0.200 0.064 0.525

Properties
Uncorrected formation energy, kcal/mol of atoms: 7.74
Density of states at the Fermi level, states/eV per atom: 0.43
Space group: P1
Energy, eV/atom: -7.238


[11]
Density functional theory data (PBE) for a relaxed MnCuSi4 crystal.

Cell: 4.949 4.949 4.949 Å, 60.00 60.00 60.00°
Positions (direct):
1 Mn 0.000 0.000 0.000
2 Cu 0.250 0.250 0.250
3 Si 0.126 0.625 0.625
4 Si 0.625 0.126 0.625
5 Si 0.625 0.625 0.126
6 Si 0.625 0.625 0.625

Properties
Uncorrected formation energy, kcal/mol of atoms: 9.64
Density of states at the Fermi level, states/eV per atom: 0.28
Space group: F-43m
Energy, eV/atom: -5.408


[12]
Density functional theory data (PBE) for a relaxed TiSe2IN crystal.

Cell: 5.254 5.254 3.798 Å, 90.00 90.00 90.00°
Positions (direct):
1 Ti 0.000 0.000 0.000
2 Se 0.000 0.500 0.000
3 Se 0.500 0.000 0.000
4 I 0.500 0.500 0.500
5 N 0.000 0.000 0.500

Properties
Uncorrected formation energy, kcal/mol of atoms: 2.00
Density of states at the Fermi level, states/eV per atom: 0.98
Space group: P4/mmm
Energy, eV/atom: -4.861


What is the energy in the seventh record?
-3.035 eV/atom


Number 3 is which compound?
PrNdTmPb


Repeat the eleventh record exactly.
Density functional theory data (PBE) for a relaxed MnCuSi4 crystal.

Cell: 4.949 4.949 4.949 Å, 60.00 60.00 60.00°
Positions (direct):
1 Mn 0.000 0.000 0.000
2 Cu 0.250 0.250 0.250
3 Si 0.126 0.625 0.625
4 Si 0.625 0.126 0.625
5 Si 0.625 0.625 0.126
6 Si 0.625 0.625 0.625

Properties
Uncorrected formation energy, kcal/mol of atoms: 9.64
Density of states at the Fermi level, states/eV per atom: 0.28
Space group: F-43m
Energy, eV/atom: -5.408


Which of these has the lowest energy?
PaV2Tc